1.
Compound: NbIn3Ir
Source: Alexandria
Functional: SCAN
Structure: single point on PBEsol structure

Results
* volume: 138 Å³/cell
* crystal system: cubic
* uncorrected energy: -39.31 eV per atom
* energy of formation from the pure elements: 1.56 eV per atom

```
NbIn3Ir
1.0
5.1647 0.0000 0.0000
0.0000 5.1647 0.0000
0.0000 0.0000 5.1647
Nb In Ir
1 3 1
Cartesian
0.0000 0.0000 0.0000 Nb
0.0000 0.0000 2.5824 In
0.0000 2.5824 0.0000 In
2.5824 0.0000 0.0000 In
2.5824 2.5824 2.5824 Ir
```



2.
Compound: NdIn2Ir
Source: Alexandria
Functional: SCAN
Structure: single point on PBEsol structure

Results
* volume: 176 Å³/cell
* crystal system: orthorhombic
* uncorrected energy: -46.05 eV per atom
* energy of formation from the pure elements: -0.69 eV per atom

```
NdIn2Ir
1.0
2.1789 -5.1336 0.0000
2.1789 5.1336 0.0000
0.0000 0.0000 7.8850
Nd In Ir
2 4 2
Cartesian
2.1789 4.4119 5.9138 Nd
2.1789 -4.4119 1.9713 Nd
2.1789 1.4788 4.3456 In
2.1789 1.4788 7.4819 In
2.1789 -1.4788 0.4031 In
2.1789 -1.4788 3.5394 In
2.1789 2.8976 1.9713 Ir
2.1789 -2.8976 5.9138 Ir
```